Material: Ag2SbTe2
Method: DFT, GGA-PBE
State: optimized geometry

Structure (POSCAR):
```
Ag2SbTe2
1.0
-2.243 2.243 6.652
2.243 -2.243 6.652
2.243 2.243 -6.652
Ag Sb Te
2 1 2
direct
0.100 0.100 0.000
0.900 0.900 0.000
0.500 0.500 0.000
0.250 0.750 0.500
0.750 0.250 0.500
```

## Properties
Magnetization = 0.0 μB per formula unit
Formation energy without anion corrections = 0.38 eV/atom



Material: Ag2SbTe5
Method: DFT, GGA-PBE
State: optimized geometry

Structure (POSCAR):
```
Ag2SbTe5
1.0
6.215 0.000 0.000
2.731 6.212 0.000
3.093 -0.004 6.183
Ag Sb Te
2 1 5
direct
0.000 0.000 0.000
0.500 0.000 0.000
0.499 0.500 0.500
0.228 0.552 0.992
0.277 0.992 0.451
0.722 0.008 0.548
0.770 0.448 0.008
0.999 0.500 0.500
```

## Properties
Magnetization = 0.0 μB per formula unit
Formation energy without anion corrections = 0.01 eV/atom



Material: Ag2SbTe
Method: DFT, GGA-PBE
State: optimized geometry

Structure (POSCAR):
```
Ag2SbTe
1.0
3.188 0.000 0.000
0.000 3.696 0.000
0.000 0.000 8.260
Ag Sb Te
2 1 1
direct
0.000 0.000 0.224
0.000 0.000 0.776
0.500 0.500 0.000
0.000 0.500 0.500
```

## Properties
Magnetization = 0.0 μB per formula unit
Formation energy without anion corrections = 0.10 eV/atom



Material: AgSbTe
Method: DFT, GGA-PBE
State: optimized geometry

Structure (POSCAR):
```
AgSbTe
1.0
4.604 0.000 0.000
-2.291 4.031 0.000
-0.010 -0.049 9.609
Ag Sb Te
2 2 2
direct
0.228 0.454 0.083
0.772 0.546 0.917
0.177 0.353 0.577
0.823 0.647 0.423
0.415 0.832 0.809
0.585 0.168 0.191
```

## Properties
Magnetization = 0.0 μB per formula unit
Formation energy without anion corrections = -0.02 eV/atom



Material: Ag2SbTe
Method: DFT, GGA-PBE
State: optimized geometry

Structure (POSCAR):
```
Ag2SbTe
1.0
3.084 0.000 0.000
0.000 4.292 0.000
-1.528 0.000 7.275
Ag Sb Te
2 1 1
direct
0.000 0.000 0.000
0.398 0.500 0.799
0.607 0.500 0.206
0.793 0.000 0.576
```

## Properties
Magnetization = 0.0 μB per formula unit
Formation energy without anion corrections = 0.03 eV/atom



Material: AgSb3Te
Method: DFT, GGA-PBE
State: optimized geometry

Structure (POSCAR):
```
AgSb3Te
1.0
5.366 0.000 0.000
0.000 5.366 0.000
0.000 0.000 5.366
Ag Sb Te
1 3 1
direct
0.000 0.000 0.000
0.000 0.000 0.500
0.000 0.500 0.000
0.500 0.000 0.000
0.500 0.500 0.500
```

## Properties
Magnetization = 0.0 μB per formula unit
Formation energy without anion corrections = 0.64 eV/atom



Material: Ag2SbTe4
Method: DFT, GGA-PBE
State: optimized geometry

Structure (POSCAR):
```
Ag2SbTe4
1.0
-3.927 4.086 7.012
3.927 -4.086 7.012
3.927 4.086 -7.012
Ag Sb Te
4 2 8
direct
0.000 0.000 0.000
0.347 0.597 0.750
0.500 0.000 0.500
0.653 0.403 0.250
0.000 0.000 0.500
0.000 0.500 0.000
0.221 0.200 0.479
0.221 0.742 0.021
0.278 0.250 0.028
0.278 0.750 0.528
0.722 0.250 0.472
0.722 0.750 0.972
0.779 0.258 0.979
0.779 0.800 0.521
```

## Properties
Magnetization = 0.0 μB per formula unit
Formation energy without anion corrections = 0.03 eV/atom



Material: Ag7SbTe6
Method: DFT, GGA-PBE
State: optimized geometry

Structure (POSCAR):
```
Ag7SbTe6
1.0
3.826 2.209 7.575
-3.826 2.209 7.575
0.000 -4.418 7.575
Ag Sb Te
7 1 6
direct
0.000 0.000 0.000
0.113 0.809 0.477
0.218 0.533 0.846
0.477 0.113 0.809
0.533 0.846 0.218
0.809 0.477 0.113
0.846 0.218 0.533
0.666 0.666 0.666
0.079 0.396 0.743
0.254 0.931 0.595
0.396 0.743 0.079
0.595 0.254 0.931
0.743 0.079 0.396
0.931 0.595 0.254
```

## Properties
Magnetization = 0.0 μB per formula unit
Formation energy without anion corrections = -0.02 eV/atom